No. 1
Entry from Alexandria: crystalline NaV4 at its relaxed geometry (GGA-PBE).

* crystal system: cubic
* SG: Pm-3m, No. 221
* E_tot: -26.441 eV per cell
* total moment: 1.44 μB/f.u.
* formation energy: 2.270 eV/atom

abc: 4.423 4.423 4.423
angles: 90.00 90.00 90.00
Sites, in units of the cell vectors:
Na 0.000 0.000 0.000
V 0.000 0.000 0.500
V 0.000 0.500 0.000
V 0.500 0.000 0.000
V 0.500 0.500 0.500


No. 2
Entry from Alexandria: crystalline Na2VW at its relaxed geometry (GGA-PBE).

* crystal system: cubic
* SG: Fm-3m, No. 225
* E_tot: -17.665 eV per cell
* total moment: 0.00 μB/f.u.
* formation energy: 1.761 eV/atom

abc: 4.907 4.907 4.907
angles: 60.00 60.00 60.00
Sites, in units of the cell vectors:
Na 0.250 0.250 0.250
Na 0.750 0.750 0.750
V 0.000 0.000 0.000
W 0.500 0.500 0.500


No. 3
Entry from Alexandria: crystalline NaVW3 at its relaxed geometry (GGA-PBE).

* crystal system: cubic
* SG: Pm-3m, No. 221
* E_tot: -40.589 eV per cell
* total moment: 0.00 μB/f.u.
* formation energy: 1.742 eV/atom

abc: 4.621 4.621 4.621
angles: 90.00 90.00 90.00
Sites, in units of the cell vectors:
Na 0.000 0.000 0.000
V 0.500 0.500 0.500
W 0.000 0.500 0.500
W 0.500 0.000 0.500
W 0.500 0.500 0.000


No. 4
Entry from Alexandria: crystalline Na2VW at its relaxed geometry (GGA-PBE).

* crystal system: tetragonal
* SG: I-42d, No. 122
* E_tot: -36.586 eV per cell
* total moment: 0.04 μB/f.u.
* formation energy: 1.604 eV/atom

abc: 6.305 6.305 6.305
angles: 98.81 98.81 133.92
Sites, in units of the cell vectors:
Na 0.113 0.625 0.988
Na 0.375 0.363 0.488
Na 0.637 0.125 0.012
Na 0.875 0.887 0.512
V 0.000 0.000 0.000
V 0.750 0.250 0.500
W 0.250 0.750 0.500
W 0.500 0.500 0.000